No. 1
{
  "formula": "B3C2",
  "functional": "PBE",
  "state": "relaxed",
  "lattice": [[-3.062, 3.062, 1.904], [3.062, -3.062, 1.904], [3.062, 3.062, -1.904]],
  "species": ["B", "B", "B", "B", "B", "B", "C", "C", "C", "C"],
  "fractional_positions": [[0.806, 0.419, 0.153], [0.750, 0.250, 0.500], [0.581, 0.734, 0.387], [0.347, 0.194, 0.613], [0.266, 0.653, 0.847], [0.000, 0.000, 0.000], [0.547, 0.654, 0.699], [0.346, 0.045, 0.893], [0.152, 0.453, 0.107], [0.955, 0.848, 0.301]],
  "polymorph_energy_mev_per_atom": 266,
  "total_energy_ev_per_atom": -7.22,
  "e_form_ev_per_atom": 0.477
}

No. 2
{
  "formula": "B3C",
  "functional": "PBE",
  "state": "relaxed",
  "lattice": [[1.328, -5.551, -2.568], [3.149, -5.374, -0.620], [-3.139, -2.699, 3.181]],
  "species": ["B", "B", "B", "B", "B", "B", "B", "B", "B", "C", "C", "C"],
  "fractional_positions": [[0.348, 0.348, 0.427], [0.267, 0.267, 0.992], [0.118, 0.118, 0.852], [0.973, 0.973, 0.069], [0.986, 0.986, 0.741], [0.843, 0.843, 0.823], [0.664, 0.664, 0.622], [0.618, 0.618, 0.279], [0.516, 0.516, 0.526], [0.160, 0.160, 0.146], [0.796, 0.796, 0.537], [0.462, 0.462, 0.236]],
  "polymorph_energy_mev_per_atom": 90,
  "total_energy_ev_per_atom": -6.98,
  "e_form_ev_per_atom": 0.331
}

No. 3
{
  "formula": "BC",
  "functional": "PBE",
  "state": "relaxed",
  "lattice": [[-2.830, -3.032, -2.454], [-0.881, -4.433, 0.513], [-3.138, 2.455, 3.245]],
  "species": ["B", "B", "B", "B", "B", "B", "C", "C", "C", "C", "C", "C"],
  "fractional_positions": [[0.968, 0.984, 0.997], [0.305, 0.722, 0.303], [0.278, 0.362, 0.114], [0.615, 0.100, 0.420], [0.296, 0.718, 0.701], [0.288, 0.365, 0.716], [0.680, 0.671, 0.338], [0.911, 0.431, 0.586], [0.991, 0.040, 0.504], [0.593, 0.043, 0.913], [0.673, 0.652, 0.831], [0.904, 0.412, 0.079]],
  "polymorph_energy_mev_per_atom": 209,
  "total_energy_ev_per_atom": -7.59,
  "e_form_ev_per_atom": 0.360
}

No. 4
{
  "formula": "BC",
  "functional": "PBE",
  "state": "relaxed",
  "lattice": [[4.584, 0.083, -1.524], [2.978, 3.381, -1.539], [-0.211, -0.120, 5.393]],
  "species": ["B", "B", "B", "B", "B", "B", "C", "C", "C", "C", "C", "C"],
  "fractional_positions": [[0.967, 0.018, 0.982], [0.261, 0.715, 0.284], [0.568, 0.158, 0.427], [0.688, 0.648, 0.327], [0.290, 0.724, 0.715], [0.320, 0.328, 0.685], [0.329, 0.314, 0.149], [0.894, 0.423, 0.590], [0.991, 0.027, 0.505], [0.583, 0.065, 0.927], [0.682, 0.662, 0.837], [0.927, 0.418, 0.073]],
  "polymorph_energy_mev_per_atom": 217,
  "total_energy_ev_per_atom": -7.58,
  "e_form_ev_per_atom": 0.368
}

No. 5
{
  "formula": "B7C5",
  "functional": "PBE",
  "state": "relaxed",
  "lattice": [[-1.022, 4.480, -0.321], [0.751, -2.257, -4.040], [-4.310, -2.325, 1.848]],
  "species": ["B", "B", "B", "B", "B", "B", "B", "C", "C", "C", "C", "C"],
  "fractional_positions": [[0.282, 0.944, 0.649], [0.975, 0.656, 0.009], [0.550, 0.512, 0.467], [0.243, 0.566, 0.667], [0.877, 0.207, 0.595], [0.603, 0.929, 0.982], [0.623, 0.313, 0.001], [0.340, 0.354, 0.125], [0.312, 0.621, 0.018], [0.564, 0.264, 0.632], [0.985, 0.990, 0.968], [0.898, 0.893, 0.636]],
  "polymorph_energy_mev_per_atom": 288,
  "total_energy_ev_per_atom": -7.29,
  "e_form_ev_per_atom": 0.452
}

No. 6
{
  "formula": "B7C5",
  "functional": "PBE",
  "state": "relaxed",
  "lattice": [[2.744, 0.000, 0.000], [0.000, 2.744, 0.000], [0.000, 0.000, 11.505]],
  "species": ["B", "B", "B", "B", "B", "B", "B", "C", "C", "C", "C", "C"],
  "fractional_positions": [[0.500, 0.000, 0.890], [0.500, 0.500, 0.474], [0.500, 0.000, 0.610], [0.000, 0.500, 0.750], [0.500, 0.500, 0.170], [0.000, 0.000, 0.330], [0.000, 0.000, 0.026], [0.500, 0.500, 0.833], [0.000, 0.000, 0.667], [0.500, 0.000, 0.250], [0.000, 0.500, 0.417], [0.000, 0.500, 0.083]],
  "polymorph_energy_mev_per_atom": 215,
  "total_energy_ev_per_atom": -7.36,
  "e_form_ev_per_atom": 0.380
}

No. 7
{
  "formula": "BC",
  "functional": "PBE",
  "state": "relaxed",
  "lattice": [[-0.660, 1.106, -4.293], [-1.860, -1.150, -3.912], [-3.980, 2.340, 1.320]],
  "species": ["B", "B", "B", "B", "C", "C", "C", "C"],
  "fractional_positions": [[0.743, 0.743, 0.286], [0.548, 0.548, 0.121], [0.511, 0.511, 0.481], [0.079, 0.079, 0.716], [0.321, 0.321, 0.460], [0.261, 0.261, 0.762], [0.981, 0.981, 0.994], [0.806, 0.806, 0.930]],
  "polymorph_energy_mev_per_atom": 278,
  "total_energy_ev_per_atom": -7.52,
  "e_form_ev_per_atom": 0.429
}

No. 8
{
  "formula": "BC",
  "functional": "PBE",
  "state": "relaxed",
  "lattice": [[-3.982, -2.585, -4.681], [-2.912, -4.777, -3.627], [-2.986, 0.739, 4.566]],
  "species": ["B", "B", "B", "B", "B", "B", "C", "C", "C", "C", "C", "C"],
  "fractional_positions": [[0.022, 0.022, 0.908], [0.906, 0.906, 0.314], [0.319, 0.319, 0.164], [0.688, 0.688, 0.250], [0.566, 0.566, 0.651], [0.325, 0.325, 0.664], [0.245, 0.245, 0.359], [0.998, 0.998, 0.561], [0.904, 0.904, 0.711], [0.251, 0.251, 0.861], [0.687, 0.687, 0.812], [0.589, 0.589, 0.995]],
  "polymorph_energy_mev_per_atom": 233,
  "total_energy_ev_per_atom": -7.57,
  "e_form_ev_per_atom": 0.383
}